# 1
VASP calculation (GGA-PBE) on a relaxed Sm4InCo2 crystal.

Calculated formation energy (eV/atom): -0.060
SG: R-3m, No. 166

Unit cell a=4.725 b=4.725 c=9.791 alpha=76.04 beta=76.04 gamma=60.00
Sites, in units of the cell vectors:
Sm: 0.391 0.391 0.826
Sm: 0.202 0.202 0.393
Sm: 0.798 0.798 0.607
Sm: 0.609 0.609 0.174
In: 0.000 0.000 0.000
Co: 0.096 0.096 0.712
Co: 0.904 0.904 0.288

# 2
VASP calculation (GGA-PBE) on a relaxed TbScTl2 crystal.

Calculated formation energy (eV/atom): -0.212
SG: R-3m, No. 166

Unit cell a=3.644 b=3.644 c=9.715 alpha=79.19 beta=79.19 gamma=60.00
Sites, in units of the cell vectors:
Sc: 0.000 0.000 0.000
Tl: 0.254 0.254 0.238
Tl: 0.746 0.746 0.762
Tb: 0.500 0.500 0.500

# 3
VASP calculation (GGA-PBE) on a relaxed ZrSe2BrN crystal.

Formation energy without anion corrections (meV/atom): 1043
ΔE to the lowest computed polymorph (eV per atom): 0.910
SG: P4/mmm, No. 123

Unit cell a=5.212 b=5.212 c=3.707 alpha=90.00 beta=90.00 gamma=90.00
Sites, in units of the cell vectors:
Se: 0.000 0.500 0.000
Se: 0.500 0.000 0.000
Br: 0.000 0.000 0.000
Zr: 0.500 0.500 0.500
N: 0.000 0.000 0.500